# 1
Entry from the Alexandria database: a relaxed Sm2CoCu crystal (PBE-GGA).

Structure (POSCAR):
```
Sm2CoCu
1.0
3.4608 0.0000 0.0000
0.0000 3.4608 0.0000
0.0000 0.0000 7.0906
Sm Co Cu
2 1 1
direct
0.0000 0.0000 0.7608 Sm
0.0000 0.0000 0.2392 Sm
0.5000 0.5000 0.0000 Co
0.5000 0.5000 0.5000 Cu
```

* raw total energy: -5.26 eV/atom
* mass density: 8.275 g cm⁻³
* DOS at the Fermi energy: 3.199 states/eV per cell

***

# 2
Entry from the Alexandria database: a relaxed CdBOs2Pb crystal (PBE-GGA).

Structure (POSCAR):
```
CdBOs2Pb
1.0
-1.9710 -4.4168 1.4185
-0.1254 -1.5575 -5.0238
4.6375 -1.9159 0.4782
B Os Cd Pb
1 2 1 1
direct
0.5000 0.5000 0.5000 B
0.0000 0.0000 0.5000 Os
0.5000 0.0000 0.0000 Os
0.0000 0.5000 0.0000 Cd
0.0000 0.0000 0.0000 Pb
```

* raw total energy: -3.55 eV/atom
* mass density: 8.832 g cm⁻³
* DOS at the Fermi energy: 5.139 states/eV per cell

***

# 3
Entry from the Alexandria database: a relaxed Mn4TlAu crystal (PBE-GGA).

Structure (POSCAR):
```
Mn4TlAu
1.0
0.0000 3.5518 3.5518
3.5518 0.0000 3.5518
3.5518 3.5518 0.0000
Au Mn Tl
1 4 1
direct
0.0000 0.0000 0.0000 Au
0.3751 0.3751 0.3751 Mn
0.8746 0.3751 0.3751 Mn
0.3751 0.8746 0.3751 Mn
0.3751 0.3751 0.8746 Mn
0.7500 0.7500 0.7500 Tl
```

* raw total energy: -6.57 eV/atom
* mass density: 11.509 g cm⁻³
* DOS at the Fermi energy: 7.746 states/eV per cell

***

# 4
Entry from the Alexandria database: a relaxed BaCaPrNd crystal (PBE-GGA).

Structure (POSCAR):
```
BaCaPrNd
1.0
-2.2498 5.5209 -1.6246
-3.7748 3.0460 3.8280
1.9714 5.1054 2.8687
Ca Nd Pr Ba
1 1 1 1
direct
0.2500 0.2500 0.2500 Ca
0.7500 0.7500 0.7500 Nd
0.0000 0.0000 0.0000 Pr
0.5000 0.5000 0.5000 Ba
```

* raw total energy: -3.19 eV/atom
* mass density: 4.604 g cm⁻³
* DOS at the Fermi energy: 5.847 states/eV per cell

***

# 5
Entry from the Alexandria database: a relaxed Sr2Cd7In crystal (PBE-GGA).

Structure (POSCAR):
```
Sr2Cd7In
1.0
-1.8554 -0.0923 -4.2857
4.0163 -1.6697 -1.7028
-4.0675 -11.8399 2.0158
Sr Cd In
2 7 1
direct
0.0000 0.5000 0.2484 Sr
0.5000 0.0000 0.7516 Sr
0.0000 0.0000 0.0000 Cd
0.5000 0.5000 0.5000 Cd
0.5000 0.0000 0.3600 Cd
0.0000 0.5000 0.6400 Cd
0.0000 0.0000 0.5000 Cd
0.5000 0.0000 0.1396 Cd
0.0000 0.5000 0.8604 Cd
0.5000 0.5000 0.0000 In
```

* raw total energy: -1.51 eV/atom
* mass density: 6.464 g cm⁻³
* DOS at the Fermi energy: 3.426 states/eV per cell

***

# 6
Entry from the Alexandria database: a relaxed AlInPb2O5 crystal (PBE-GGA).

Structure (POSCAR):
```
AlInPb2O5
1.0
3.3025 0.0000 0.0000
-1.6513 7.2446 0.0000
0.0000 0.0000 11.8396
Al Pb O In
2 4 10 2
direct
0.5366 0.0732 0.9328 Al
0.4634 0.9268 0.4328 Al
0.1437 0.2874 0.3169 Pb
0.8849 0.7698 0.1466 Pb
0.1151 0.2302 0.6466 Pb
0.8563 0.7126 0.8169 Pb
0.6542 0.3084 0.5172 O
0.3396 0.6792 0.4169 O
0.4729 0.9457 0.8062 O
0.6604 0.3208 0.9169 O
0.7084 0.4168 0.1535 O
0.9750 0.9499 0.5033 O
0.2916 0.5832 0.6535 O
0.5271 0.0543 0.3062 O
0.0250 0.0501 0.0033 O
0.3458 0.6916 0.0172 O
0.8048 0.6096 0.5306 In
0.1952 0.3904 0.0306 In
```

* raw total energy: -5.96 eV/atom
* E_form (uncorrected): -14.93 eV per formula unit
* mass density: 7.459 g cm⁻³
* DOS at the Fermi energy: 0.000 states/eV per cell